# 1
VASP calculation (GGA-PBE) on an optimized crystal structure of Nd2DyHo3S6.

As for the uncorrected formation energy: -1.99 eV/atom. Its density of states at the Fermi level is 10.07 states/eV per cell.

a b c (Å): 17.240 3.926 7.965
angles (deg): 90.00 103.94 90.00
Space group C2/m (No. 12)
Unique sites:
1 Nd 0.168 0.000 0.335 [4 per cell]
2 Dy 0.000 0.500 0.000 [2 per cell]
3 Ho 0.000 0.500 0.500 [2 per cell]
4 Ho 0.169 0.000 0.833 [4 per cell]
5 S 0.004 0.000 0.751 [4 per cell]
6 S 0.162 0.500 0.593 [4 per cell]
7 S 0.166 0.500 0.071 [4 per cell]



# 2
VASP calculation (GGA-PBE) on an optimized crystal structure of TbYCuRu.

Its density of states at the Fermi level is 13.13 states/eV per cell. The formation enthalpy at 0 K is -0.312 eV per atom.

a b c (Å): 6.895 6.895 6.895
angles (deg): 90.00 90.00 90.00
Space group F-43m (No. 216)
Unique sites:
1 Tb 0.000 0.000 0.000 [4 per cell]
2 Y 0.000 0.000 0.500 [4 per cell]
3 Cu 0.250 0.250 0.250 [4 per cell]
4 Ru 0.250 0.250 0.750 [4 per cell]